The following is a GGA+U calculation of an optimized crystal structure of Ba2B2MoO6, from Alexandria via LeMat-Bulk.

Summary:
* VASP energy: -79.6 eV per formula unit
* M_tot: 6.00 μB/cell
* crystal system: trigonal

abc: 5.5390 5.5390 16.9716
angles: 90.00 90.00 120.00
Space group R-3m (No. 166, hexagonal axes)
Symmetry-distinct sites (fractional):
Ba1 0.0000 0.0000 0.2205 (multiplicity 6)
B1 0.0000 0.0000 0.4136 (multiplicity 6)
Mo1 0.0000 0.0000 0.0000 (multiplicity 3)
O1 0.0429 0.5214 0.2523 (multiplicity 18)